No. 1
The following is a DFT calculation (GGA-PBEsol) of a geometry-optimized K2MnH2OF5 structure.

- M_tot: 4.0 μB/f.u.
- Total energy: -5.2872 eV per atom

Geometry as extended XYZ:
```
22
Lattice="5.8711 0.0000 0.0000 0.0000 8.2292 0.0000 -0.8324 0.0000 6.0814" Properties=species:S:1:pos:R:3 pbc="T T T"
K -0.0611 2.0573 0.6502
K 1.9557 6.1719 2.9233
K 3.0831 2.0573 3.1581
K 5.0998 6.1719 5.4311
Mn 2.9356 0.0000 0.0000
Mn 2.9356 4.1146 0.0000
H 0.3273 1.2584 3.8157
H 0.3273 2.8563 3.8157
H 4.7115 5.3730 2.2656
H 4.7115 6.9709 2.2656
O -0.0221 2.0573 3.3371
O 5.0608 6.1719 2.7443
F 1.3976 4.4482 0.9468
F 1.3976 7.8956 0.9468
F 1.1153 4.1491 4.4700
F 1.1153 8.1947 4.4700
F 2.5829 2.0573 0.2625
F 2.4558 6.1719 5.8189
F 3.9235 0.0345 1.6114
F 3.9235 4.0801 1.6114
F 3.6411 0.3336 5.1346
F 3.6411 3.7810 5.1346
```

=====

No. 2
The following is a DFT calculation (GGA-PBEsol) of a geometry-optimized KHN2F structure.

- M_tot: 2.0 μB/f.u.
- Total energy: -3.8011 eV per atom

Geometry as extended XYZ:
```
5
Lattice="3.2370 0.0000 0.0000 0.0000 3.2370 0.0000 0.0000 0.0000 5.5836" Properties=species:S:1:pos:R:3 pbc="T T T"
K 0.0000 0.0000 0.0000
H 1.6185 1.6185 2.7918
N 0.0000 1.6185 2.7918
N 1.6185 0.0000 2.7918
F 1.6185 1.6185 0.0000
```

=====

No. 3
The following is a DFT calculation (GGA-PBEsol) of a geometry-optimized KH8WN2O3F3 structure.

- M_tot: 0.0 μB/f.u.
- Total energy: -5.8388 eV per atom

Geometry as extended XYZ:
```
36
Lattice="6.1811 0.0000 0.0000 0.0000 6.3110 0.0000 -6.1320 0.0000 9.2656" Properties=species:S:1:pos:R:3 pbc="T T T"
K 0.0000 1.4888 0.0000
K -3.0660 4.8222 4.6328
H -3.5072 1.4652 6.1112
H -0.4412 4.8459 1.4784
H -3.0706 2.7333 7.1524
H -0.0046 3.5778 2.5196
H -3.3067 1.1211 7.7669
H -0.2407 5.1899 3.1341
H -1.9323 1.5004 6.7637
H 1.1338 4.8106 2.1310
H 3.3204 1.8866 1.4672
H 0.2544 4.4244 6.1000
H 3.1032 0.2360 2.0079
H 0.0372 6.0750 6.6407
H 2.8198 1.5418 3.0671
H -0.2462 4.7692 7.6998
H 4.4243 1.2864 2.5614
H 1.3583 5.0246 7.1942
W 0.0117 1.7948 4.6367
W 3.0777 4.5162 0.0039
N -2.9649 1.7027 6.9581
N 0.1011 4.6084 2.3253
N 3.4020 1.2331 2.2775
N 0.3360 5.0780 6.9103
O -0.1371 1.7778 2.8025
O -3.2031 4.5332 7.4353
O -0.3408 1.3036 6.3927
O 2.7252 5.0074 1.7599
O 3.9433 2.9916 0.2229
O 0.8773 3.3194 4.8557
F -1.7797 2.5963 4.6436
F 1.2863 3.7148 0.0108
F -3.9171 0.1514 8.9661
F -0.8511 6.1596 4.3334
F 1.7038 0.7653 4.6451
F 4.7698 5.5457 0.0123
```

=====

No. 4
The following is a DFT calculation (GGA-PBEsol) of a geometry-optimized KH8WN2F6 structure.

- M_tot: 3.0 μB/f.u.
- Total energy: -5.2958 eV per atom

Geometry as extended XYZ:
```
36
Lattice="6.3356 0.0000 0.0000 0.0000 6.3467 0.0000 -6.2563 0.0000 9.2035" Properties=species:S:1:pos:R:3 pbc="T T T"
K 0.0000 0.0000 0.0000
K -3.1282 3.1734 4.6018
H -3.5950 0.2797 6.0651
H -0.4669 2.8937 1.4633
H 0.0695 4.2135 2.4438
H -3.0587 5.3066 7.0456
H -3.3959 0.4935 7.7503
H -0.2677 2.6798 3.1485
H -2.0213 0.2445 6.7491
H 1.1069 2.9289 2.1473
H -1.0276 3.4178 7.0562
H 2.1006 6.1023 2.4544
H 0.3470 3.6669 6.0550
H 3.4751 5.8532 1.4532
H 3.1380 1.0402 2.1579
H 0.0098 2.1332 6.7597
H 0.5462 3.4530 7.7402
H 3.6743 6.0671 3.1385
W 0.0396 0.0000 4.6018
W 3.1678 3.1734 0.0000
N 0.1038 3.1801 2.2999
N -3.0244 6.3400 6.9016
N 3.1037 0.0067 2.3019
N -0.0245 3.1667 6.9037
F -4.8649 4.1728 8.9072
F -1.7368 5.3473 4.3055
F -4.0940 1.3946 8.9361
F -0.9659 1.7788 4.3343
F -2.7364 3.6023 7.1974
F 0.3917 5.9178 2.5956
F -0.3125 0.4289 6.6079
F 2.8157 2.7444 2.0062
F 1.0452 4.5680 4.8692
F 4.1733 4.9521 0.2674
F 1.8160 0.9995 4.8981
F 4.9442 2.1739 0.2963
```

=====

No. 5
The following is a DFT calculation (GGA-PBEsol) of a geometry-optimized K2Na2Sb2H6O3F10 structure.

- M_tot: 0.0 μB/f.u.
- Total energy: -4.8211 eV per atom

Geometry as extended XYZ:
```
50
Lattice="6.0480 0.0000 0.0000 0.0000 17.2141 0.0000 -0.1176 0.0000 6.0475" Properties=species:S:1:pos:R:3 pbc="T T T"
K 1.4131 0.0013 1.4399
K 1.4131 8.6057 1.4399
K 4.5173 17.2128 4.6076
K 4.5173 8.6083 4.6076
Na 1.4983 2.0929 4.4650
Na 1.4983 6.5142 4.4650
Na 4.4322 10.6999 1.5824
Na 4.4322 15.1212 1.5824
Sb 1.4901 10.8861 4.4670
Sb 1.4901 14.9350 4.4670
Sb 4.4403 2.2791 1.5805
Sb 4.4403 6.3280 1.5805
H 0.8444 12.1297 1.1052
H 0.8444 13.6914 1.1052
H 1.1022 3.5228 0.8736
H 1.1022 5.0842 0.8736
H 1.8704 4.3035 2.9693
H 2.9226 12.9106 1.9135
H 3.0078 4.3035 4.1340
H 4.0601 12.9106 3.0782
H 4.8282 12.1298 5.1739
H 4.8282 13.6913 5.1739
H 5.0860 3.5227 4.9423
H 5.0860 5.0843 4.9423
O 1.2720 12.9106 1.5338
O 1.5221 4.3035 1.3097
O 2.0210 4.3035 3.9599
O 3.9094 12.9106 2.0876
O 4.4084 12.9106 4.7378
O 4.6584 4.3035 4.5137
F -0.0863 10.9535 6.0091
F -0.0863 14.8676 6.0091
F 0.0300 10.3853 3.0699
F 0.0300 15.4358 3.0699
F 1.1543 8.9347 4.7990
F 1.1543 16.8864 4.7990
F 2.8485 10.1066 3.1359
F 2.8485 15.7145 3.1359
F 2.8582 10.3881 5.9556
F 2.8582 15.4330 5.9556
F 3.0722 1.7810 0.0919
F 3.0722 6.8260 0.0919
F 3.0820 1.4996 2.9116
F 3.0820 7.1075 2.9116
F 4.7761 0.3276 1.2485
F 4.7761 8.2794 1.2485
F 5.9005 1.7782 2.9775
F 5.9005 6.8288 2.9775
F 6.0167 2.3464 0.0383
F 6.0167 6.2606 0.0383
```

=====

No. 6
The following is a DFT calculation (GGA-PBEsol) of a geometry-optimized KH4O2F structure.

- M_tot: 0.0 μB/f.u.
- Total energy: -4.8313 eV per atom

Geometry as extended XYZ:
```
16
Lattice="4.1110 0.0000 0.0000 0.0000 5.0770 0.0000 0.0000 0.0000 8.6470" Properties=species:S:1:pos:R:3 pbc="T T T"
K 0.0000 0.5178 0.0000
K 0.0000 4.5593 4.3235
H 0.7922 2.0839 5.8968
H 0.7922 2.9932 1.5733
H 2.0555 1.4285 2.5739
H 2.0555 1.8473 4.1056
H 2.0555 3.2298 8.4292
H 2.0555 3.6485 6.8974
H 3.3189 2.0839 5.8968
H 3.3189 2.9932 1.5733
O 0.0000 1.5395 6.1666
O 0.0000 3.5376 1.8431
O 2.0555 1.0609 3.4982
O 2.0555 4.0162 7.8217
F 2.0555 2.0798 1.0324
F 2.0555 2.9973 5.3560
```

=====

- The lowest total energy belongs to which entry?
  KH8WN2O3F3